[1]
First-principles (GGA-PBEsol) data for a relaxed Mn24Pt5 crystal, as listed in Alexandria via LeMat-Bulk.

The structure in POSCAR format:
```
Mn24Pt5
1.0
-4.3227 4.3227 4.3227
4.3227 -4.3227 4.3227
4.3227 4.3227 -4.3227
Mn Pt
24 5
Cartesian
2.4693 0.7796 -0.7796
2.4693 -0.7796 0.7796
4.5329 1.2481 -1.2481
4.5329 -1.2481 1.2481
6.1761 0.7796 0.7796
0.7796 2.4693 -0.7796
0.7796 -0.7796 2.4693
4.1125 1.2481 1.2481
3.0746 3.0746 -0.2102
3.0746 -0.2102 3.0746
-0.7796 2.4693 0.7796
-0.7796 0.7796 2.4693
1.2481 4.5329 -1.2481
1.2481 -1.2481 4.5329
1.2481 4.1125 1.2481
1.2481 1.2481 4.1125
3.5431 3.5431 1.8534
3.5431 1.8534 3.5431
-1.2481 4.5329 1.2481
-1.2481 1.2481 4.5329
-0.2102 3.0746 3.0746
0.7796 6.1761 0.7796
0.7796 0.7796 6.1761
1.8534 3.5431 3.5431
0.0000 0.0000 0.0000
2.7322 2.7322 -2.7322
2.7322 -2.7322 2.7322
1.5905 1.5905 1.5905
-2.7322 2.7322 2.7322
```

Output
Formation enthalpy at 0 K   -0.06 eV/atom
Total energy   -270.8 eV per cell
Symmetry   I-43m (217)

[2]
First-principles (GGA-PBEsol) data for a relaxed GaTeMoI2 crystal, as listed in Alexandria via LeMat-Bulk.

The structure in POSCAR format:
```
GaTeMoI2
1.0
5.3626 0.0000 0.0000
0.0000 5.3626 0.0000
0.0000 0.0000 5.4834
Ga Te Mo I
1 1 1 2
Cartesian
0.0000 0.0000 0.0000
0.0000 0.0000 2.7417
2.6813 2.6813 2.7417
0.0000 2.6813 0.0000
2.6813 0.0000 0.0000
```

Output
Total energy   -17.4 eV per cell
Symmetry   P4/mmm (123)
Energy relative to the elements, uncorrected   92.6 kJ per mole of atoms

[3]
First-principles (GGA-PBEsol) data for a relaxed YPRh3 crystal, as listed in Alexandria via LeMat-Bulk.

The structure in POSCAR format:
```
YPRh3
1.0
4.3901 0.0000 0.0000
0.0000 4.3901 0.0000
0.0000 0.0000 4.3901
Y P Rh
1 1 3
Cartesian
0.0000 0.0000 0.0000
2.1951 2.1951 2.1951
0.0000 2.1951 2.1951
2.1951 0.0000 2.1951
2.1951 2.1951 0.0000
```

Output
Formation enthalpy at 0 K   -0.67 eV/atom
Total energy   -40.4 eV per cell
Symmetry   Pm-3m (221)

[4]
First-principles (GGA-PBEsol) data for a relaxed MnRhBr2 crystal, as listed in Alexandria via LeMat-Bulk.

The structure in POSCAR format:
```
MnRhBr2
1.0
4.0290 0.0000 0.0000
0.0000 5.4346 0.0000
0.0000 0.0000 6.6701
Mn Rh Br
2 2 4
Cartesian
0.0000 0.0000 0.0000
2.0145 2.7173 0.0000
0.0000 0.0000 3.3351
2.0145 2.7173 3.3351
0.0000 2.7173 1.6660
0.0000 2.7173 5.0041
2.0145 0.0000 1.6660
2.0145 0.0000 5.0041
```

Output
Relative energy among the computed polymorphs   163 kJ/mol of formula units
Total energy   -39.7 eV per cell
Symmetry   Cmmm (65)
Energy relative to the elements, uncorrected   43.3 kJ per mole of atoms

[5]
First-principles (GGA-PBEsol) data for a relaxed NbP2OsCl crystal, as listed in Alexandria via LeMat-Bulk.

The structure in POSCAR format:
```
NbP2OsCl
1.0
4.3625 0.0000 0.0000
0.0000 4.3625 0.0000
0.0000 0.0000 4.3894
Nb P Os Cl
1 2 1 1
Cartesian
0.0000 0.0000 0.0000
0.0000 2.1812 2.1947
2.1812 0.0000 2.1947
2.1812 2.1812 0.0000
0.0000 0.0000 2.1947
```

Output
Relative energy among the computed polymorphs   357 kJ/mol of formula units
Total energy   -28.3 eV per cell
Symmetry   P4/mmm (123)
Energy relative to the elements, uncorrected   160.4 kJ per mole of atoms

[6]
First-principles (GGA-PBEsol) data for a relaxed LiBeAu2 crystal, as listed in Alexandria via LeMat-Bulk.

The structure in POSCAR format:
```
LiBeAu2
1.0
3.5873 0.0000 0.0000
0.0000 3.5873 0.0000
0.0000 0.0000 8.4041
Li Be Au
2 2 4
Cartesian
0.0000 0.0000 0.0000
1.7937 1.7937 4.2020
0.0000 1.7937 6.3030
1.7937 0.0000 2.1010
0.0000 0.0000 4.2020
0.0000 1.7937 2.1010
1.7937 0.0000 6.3030
1.7937 1.7937 0.0000
```

Output
Formation enthalpy at 0 K   -0.28 eV/atom
Total energy   -29.9 eV per cell
Symmetry   I-4m2 (119)

[7]
First-principles (GGA-PBEsol) data for a relaxed U3Si crystal, as listed in Alexandria via LeMat-Bulk.

The structure in POSCAR format:
```
U3Si
1.0
5.9085 0.0000 0.0000
0.0000 5.9085 0.0000
0.0000 0.0000 8.3987
U Si
12 4
Cartesian
0.0000 2.9543 2.0997
0.0000 2.9543 6.2991
1.3000 1.6543 0.0000
1.3000 4.2542 4.1994
1.6543 1.3000 4.1994
1.6543 4.6085 0.0000
2.9543 0.0000 2.0997
2.9543 0.0000 6.2991
4.2542 1.3000 0.0000
4.2542 4.6085 4.1994
4.6085 1.6543 4.1994
4.6085 4.2542 0.0000
0.0000 0.0000 2.0997
0.0000 0.0000 6.2991
2.9543 2.9543 2.0997
2.9543 2.9543 6.2991
```

Output
Total energy   -172.8 eV per cell
Symmetry   I4/mcm (140)
Energy relative to the elements, uncorrected   -23.7 kJ per mole of atoms

[8]
First-principles (GGA-PBEsol) data for a relaxed TlBr2Cl crystal, as listed in Alexandria via LeMat-Bulk.

The structure in POSCAR format:
```
TlBr2Cl
1.0
9.4771 0.0000 0.0000
0.0000 4.8832 0.0000
-0.5696 0.0000 5.4164
Tl Br Cl
2 4 2
Cartesian
0.0000 0.0000 0.0000
4.7385 2.4416 0.0000
-0.1789 2.4416 2.4516
2.5473 0.0000 3.9206
4.5596 0.0000 2.4516
7.2858 2.4416 3.9206
1.7796 2.4416 0.9684
6.5181 0.0000 0.9684
```

Output
Relative energy among the computed polymorphs   1 kJ/mol of formula units
Total energy   -20.3 eV per cell
Symmetry   Cm (8)
Energy relative to the elements, uncorrected   -42.6 kJ per mole of atoms